Density functional theory data (PBE) for a relaxed structure of HfNpZn4.

```
data_HfNpZn4
_chemical_formula_sum 'Hf1 Np1 Zn4'
_space_group_name_H-M_alt 'P 1'
_space_group_IT_number 1
_cell_length_a 5.3141
_cell_length_b 5.3141
_cell_length_c 5.3141
_cell_angle_alpha 60.00
_cell_angle_beta 60.00
_cell_angle_gamma 60.00
loop_
_space_group_symop_operation_xyz
'x,y,z'
loop_
_atom_site_label
_atom_site_type_symbol
_atom_site_fract_x
_atom_site_fract_y
_atom_site_fract_z
Np1 Np 0.0000 0.0000 0.0000
Zn1 Zn 0.6242 0.6242 0.1274
Zn2 Zn 0.6242 0.6242 0.6242
Zn3 Zn 0.6242 0.1274 0.6242
Zn4 Zn 0.1274 0.6242 0.6242
Hf1 Hf 0.2500 0.2500 0.2500
```

Properties
The calculation puts the energy relative to the elements at 0.00 eV per atom. The calculation puts the size of the total moment at 0.724 μB per atom. As for the space group: F-43m.